# BeSi2Cl (PBE, relaxed)
data_BeSi2Cl
_space_group_name_H-M_alt 'P 1'
_space_group_IT_number 1
_space_group_name_Hall 'P 1'
_cell_length_a 5.766
_cell_length_b 5.771
_cell_length_c 2.950
_cell_angle_alpha 120.67
_cell_angle_beta 120.70
_cell_angle_gamma 95.75
loop_
_atom_site_label
_atom_site_fract_x
_atom_site_fract_y
_atom_site_fract_z
Be1 0.503 0.498 0.000
Si1 0.031 0.970 0.000
Si2 0.271 0.728 0.499
Cl1 0.696 0.305 0.501
# total magnetic moment	0.000	Bohr magnetons per cell
# Fermi-level density of states	0.982	states/eV/cell
# electronic total energy	-3.814	eV per atom
# theoretical density	2.64	g/cm³
# energy relative to the elements, uncorrected	0.290	eV/atom
# symmetry	Amm2
# energy above the most stable polymorph in this dataset	110	meV per atom

***

# Si2OsPb (PBE, relaxed)
data_Si2OsPb
_space_group_name_H-M_alt 'P 1'
_space_group_IT_number 1
_space_group_name_Hall 'P 1'
_cell_length_a 3.117
_cell_length_b 3.117
_cell_length_c 7.706
_cell_angle_alpha 90.00
_cell_angle_beta 90.00
_cell_angle_gamma 90.00
loop_
_atom_site_label
_atom_site_fract_x
_atom_site_fract_y
_atom_site_fract_z
Os1 0.000 0.000 0.418
Pb1 0.500 0.500 0.716
Si1 0.000 0.000 0.088
Si2 0.500 0.500 0.278
# total magnetic moment	0.000	Bohr magnetons per cell
# Fermi-level density of states	1.520	states/eV/cell
# electronic total energy	-6.226	eV per atom
# theoretical density	10.06	g/cm³
# energy relative to the elements, uncorrected	0.220	eV/atom
# symmetry	P4mm

***

# CsK2Pt (PBE, relaxed)
data_CsK2Pt
_space_group_name_H-M_alt 'P 1'
_space_group_IT_number 1
_space_group_name_Hall 'P 1'
_cell_length_a 7.789
_cell_length_b 7.789
_cell_length_c 5.569
_cell_angle_alpha 90.00
_cell_angle_beta 90.00
_cell_angle_gamma 90.00
loop_
_atom_site_label
_atom_site_fract_x
_atom_site_fract_y
_atom_site_fract_z
Cs1 0.500 0.500 0.000
Cs2 0.000 0.000 0.000
K1 0.664 0.164 0.500
K2 0.336 0.836 0.500
K3 0.836 0.664 0.500
K4 0.164 0.336 0.500
Pt1 0.000 0.500 0.000
Pt2 0.500 0.000 0.000
# total magnetic moment	1.251	Bohr magnetons per cell
# Fermi-level density of states	3.199	states/eV/cell
# electronic total energy	-2.137	eV per atom
# theoretical density	3.99	g/cm³
# symmetry	P4/mbm
# energy above the most stable polymorph in this dataset	66	meV per atom

***

# Be2CI (PBE, relaxed)
data_Be2CI
_space_group_name_H-M_alt 'P 1'
_space_group_IT_number 1
_space_group_name_Hall 'P 1'
_cell_length_a 4.814
_cell_length_b 4.814
_cell_length_c 6.085
_cell_angle_alpha 66.70
_cell_angle_beta 66.70
_cell_angle_gamma 90.00
loop_
_atom_site_label
_atom_site_fract_x
_atom_site_fract_y
_atom_site_fract_z
I1 0.000 0.000 0.000
I2 0.750 0.250 0.500
Be1 0.463 0.125 0.250
Be2 0.287 0.625 0.250
Be3 0.375 0.537 0.750
Be4 0.875 0.713 0.750
C1 0.500 0.500 0.000
C2 0.250 0.750 0.500
# total magnetic moment	0.000	Bohr magnetons per cell
# Fermi-level density of states	4.891	states/eV/cell
# electronic total energy	-4.061	eV per atom
# theoretical density	4.46	g/cm³
# energy relative to the elements, uncorrected	0.495	eV/atom
# symmetry	I-42d
# energy above the most stable polymorph in this dataset	0	meV per atom